A geometry-optimized BaN structure, computed with GGA-PBE.

Unit cell a=7.5217 b=7.5217 c=7.5217 alpha=90.00 beta=90.00 gamma=90.00
Space group Pm-3n (No. 223)
Inequivalent atoms, fractional coordinates:
Ba: 0.0000 0.2500 0.5000 (multiplicity 6)
N: 0.0000 0.5000 0.2500 (multiplicity 6)

Summary:
raw formation energy	0.19	eV per atom
DFT total energy	-9.88	eV/f.u.